Entry 1:
{"formula": "Tb2SnP", "functional": "PBE", "state": "relaxed", "lattice": [[3.819, 0.000, 0.000], [-1.909, 3.307, 0.000], [0.000, 0.000, 28.483]], "species": ["Tb", "Tb", "Tb", "Tb", "Tb", "Tb", "Sn", "Sn", "Sn", "P", "P", "P"], "frac_coords": [[0.000, 0.000, 0.110], [0.000, 0.000, 0.890], [0.333, 0.667, 0.557], [0.333, 0.667, 0.776], [0.667, 0.333, 0.224], [0.667, 0.333, 0.443], [0.000, 0.000, 0.000], [0.333, 0.667, 0.667], [0.667, 0.333, 0.333], [0.000, 0.000, 0.500], [0.333, 0.667, 0.167], [0.667, 0.333, 0.833]], "e_tot_ev_per_atom": -5.36, "rho_g_cm3": 6.48, "formation_enthalpy_0k_ev_per_atom": -0.694, "space_group": "No. 166"}

---

Entry 2:
{"formula": "NaAl2Cu", "functional": "PBE", "state": "relaxed", "lattice": [[4.249, 0.000, 0.000], [-2.124, 3.679, 0.000], [0.000, 0.000, 16.151]], "species": ["Na", "Na", "Na", "Al", "Al", "Al", "Al", "Al", "Al", "Cu", "Cu", "Cu"], "frac_coords": [[0.000, 0.000, 0.000], [0.333, 0.667, 0.667], [0.667, 0.333, 0.333], [0.000, 0.000, 0.536], [0.000, 0.000, 0.802], [0.333, 0.667, 0.203], [0.333, 0.667, 0.469], [0.667, 0.333, 0.136], [0.667, 0.333, 0.869], [0.000, 0.000, 0.180], [0.333, 0.667, 0.847], [0.667, 0.333, 0.514]], "e_tot_ev_per_atom": -3.22, "rho_g_cm3": 2.77, "formation_enthalpy_0k_ev_per_atom": 0.005, "relative_energy_mev_per_atom": 23, "space_group": "No. 160"}

---

Entry 3:
{"formula": "Rb2NdP2S6", "functional": "PBE", "state": "relaxed", "lattice": [[6.058, -3.520, 0.000], [6.058, 3.520, 0.000], [-3.981, 0.000, 7.195]], "species": ["Rb", "Rb", "Nd", "P", "P", "S", "S", "S", "S", "S", "S"], "frac_coords": [[0.213, 0.213, 0.197], [0.787, 0.787, 0.803], [0.000, 0.000, 0.500], [0.453, 0.453, 0.825], [0.547, 0.547, 0.175], [0.219, 0.700, 0.206], [0.259, 0.259, 0.637], [0.300, 0.781, 0.794], [0.700, 0.219, 0.206], [0.741, 0.741, 0.363], [0.781, 0.300, 0.794]], "e_tot_ev_per_atom": -4.74, "rho_g_cm3": 3.08, "raw_formation_energy_ev_per_fu": -9.87, "space_group": "No. 12"}

---

Entry 4:
{"formula": "TcMoH2", "functional": "PBE", "state": "relaxed", "lattice": [[5.289, 0.000, 0.000], [0.000, 5.289, 0.000], [0.000, 0.000, 5.289]], "species": ["Tc", "Tc", "Tc", "Tc", "Mo", "Mo", "Mo", "Mo", "H", "H", "H", "H", "H", "H", "H", "H"], "frac_coords": [[0.000, 0.000, 0.000], [0.000, 0.500, 0.500], [0.500, 0.000, 0.500], [0.500, 0.500, 0.000], [0.000, 0.000, 0.500], [0.000, 0.500, 0.000], [0.500, 0.000, 0.000], [0.500, 0.500, 0.500], [0.250, 0.250, 0.250], [0.250, 0.250, 0.750], [0.250, 0.750, 0.250], [0.250, 0.750, 0.750], [0.750, 0.250, 0.250], [0.750, 0.250, 0.750], [0.750, 0.750, 0.250], [0.750, 0.750, 0.750]], "e_tot_ev_per_atom": -6.24, "rho_g_cm3": 8.80, "relative_energy_mev_per_atom": 825, "space_group": "No. 225"}

---

Entry 5:
{"formula": "Ca3Pm", "functional": "PBE", "state": "relaxed", "lattice": [[3.818, 0.000, 0.000], [0.000, 3.818, 0.000], [0.000, 0.000, 21.832]], "species": ["Ca", "Ca", "Ca", "Ca", "Ca", "Ca", "Pm", "Pm"], "frac_coords": [[0.250, 0.250, 0.065], [0.250, 0.250, 0.325], [0.250, 0.250, 0.805], [0.750, 0.750, 0.195], [0.750, 0.750, 0.675], [0.750, 0.750, 0.935], [0.250, 0.250, 0.553], [0.750, 0.750, 0.447]], "e_tot_ev_per_atom": -2.67, "rho_g_cm3": 2.77, "formation_enthalpy_0k_ev_per_atom": 0.018, "relative_energy_mev_per_atom": 0, "space_group": "No. 129"}

---

Entry 6:
{"formula": "TiMn2HPt", "functional": "PBE", "state": "relaxed", "lattice": [[3.765, 0.000, 0.000], [0.000, 3.765, 0.000], [0.000, 0.000, 3.983]], "species": ["Ti", "Mn", "Mn", "H", "Pt"], "frac_coords": [[0.000, 0.000, 0.000], [0.000, 0.500, 0.500], [0.500, 0.000, 0.500], [0.000, 0.000, 0.500], [0.500, 0.500, 0.000]], "e_tot_ev_per_atom": -7.49, "rho_g_cm3": 10.41, "space_group": "No. 123"}